Material: Cd2IrCl
Method: DFT, PBE-GGA
State: optimized geometry

```
data_Cd2IrCl
_chemical_formula_sum 'Cd8 Ir4 Cl4'
_space_group_name_H-M_alt 'F -4 3 m'
_space_group_IT_number 216
_space_group_name_Hall 'F -4 2 3'
_cell_length_a 6.723
_cell_length_b 6.723
_cell_length_c 6.723
_cell_angle_alpha 90.00
_cell_angle_beta 90.00
_cell_angle_gamma 90.00
loop_
_atom_site_label
_atom_site_fract_x
_atom_site_fract_y
_atom_site_fract_z
_atom_site_occupancy
Cd1 0.000 0.000 0.000 1
Cd2 0.250 0.250 0.250 1
Ir1 0.250 0.250 0.750 1
Cl1 0.000 0.000 0.500 1
```

Computed properties:
Total DFT energy (no corrections), eV/f.u.: -10.559
Formation energy without anion corrections, eV per atom: 0.4947
Size of the total moment, μB/f.u.: 0.0

=====

Material: La2DyHo2
Method: DFT, PBE-GGA
State: optimized geometry

```
data_La2DyHo2
_chemical_formula_sum 'La8 Dy4 Ho8'
_space_group_name_H-M_alt 'C 1 2/c 1'
_space_group_IT_number 15
_space_group_name_Hall '-C 2yc'
_cell_length_a 12.140
_cell_length_b 6.392
_cell_length_c 9.367
_cell_angle_alpha 90.00
_cell_angle_beta 110.55
_cell_angle_gamma 90.00
loop_
_atom_site_label
_atom_site_fract_x
_atom_site_fract_y
_atom_site_fract_z
_atom_site_occupancy
La1 0.198 0.167 0.150 1
Dy1 0.000 0.169 0.750 1
Ho1 0.098 0.336 0.449 1
```

Computed properties:
E_form, eV per atom: 0.03
Total DFT energy (no corrections), eV/f.u.: -23.438
Size of the total moment, μB/f.u.: 0.0

=====

What is the size of the total moment in the second record?
0.0 μB/f.u.

=====

Repeat the second record exactly.
Material: La2DyHo2
Method: DFT, PBE-GGA
State: optimized geometry

```
data_La2DyHo2
_chemical_formula_sum 'La8 Dy4 Ho8'
_space_group_name_H-M_alt 'C 1 2/c 1'
_space_group_IT_number 15
_space_group_name_Hall '-C 2yc'
_cell_length_a 12.140
_cell_length_b 6.392
_cell_length_c 9.367
_cell_angle_alpha 90.00
_cell_angle_beta 110.55
_cell_angle_gamma 90.00
loop_
_atom_site_label
_atom_site_fract_x
_atom_site_fract_y
_atom_site_fract_z
_atom_site_occupancy
La1 0.198 0.167 0.150 1
Dy1 0.000 0.169 0.750 1
Ho1 0.098 0.336 0.449 1
```

Computed properties:
E_form, eV per atom: 0.03
Total DFT energy (no corrections), eV/f.u.: -23.438
Size of the total moment, μB/f.u.: 0.0